Below is a relaxed Nd7Sm5 crystal, with properties calculated at the PBE-GGA level.

Crystal system: monoclinic
Polymorph energy (0 for the lowest one), meV per atom: 0
ΔE_f, meV per atom: 6
ρ, Mg/m³: 7.03
Uncorrected energy, eV/atom: -4.742

Cell: 19.104 3.674 13.461 Å, 90.00 118.25 90.00°
Space group C2/m (No. 12)
Symmetry-distinct sites (fractional):
Nd (0.000, 0.000, 0.000) x2
Nd (0.028, 0.500, 0.250) x4
Nd (0.140, 0.000, 0.751) x4
Nd (0.167, 0.000, 0.501) x4
Sm (0.000, 0.500, 0.500) x2
Sm (0.167, 0.500, 0.001) x4
Sm (0.194, 0.000, 0.249) x4